This record from Alexandria describes an optimized crystal structure of Ca2SbRh2. The functional is PBE.

Cell: 6.943 6.943 4.546 Å, 90.00 90.00 90.00°
Atoms (fractional coordinates):
1 Ca 0.172 0.328 0.000
2 Ca 0.328 0.828 0.000
3 Ca 0.672 0.172 0.000
4 Ca 0.828 0.672 0.000
5 Sb 0.000 0.000 0.500
6 Sb 0.500 0.500 0.500
7 Rh 0.137 0.637 0.500
8 Rh 0.363 0.137 0.500
9 Rh 0.637 0.863 0.500
10 Rh 0.863 0.363 0.500

ΔE to the lowest computed polymorph ... 137 meV/atom
Formation energy (no corrections) ... -574 meV/atom
Space-group type ... P4/mbm (127)

=====

This record from Alexandria describes an optimized crystal structure of CaTlAu2F. The functional is PBE.

Cell: 5.627 5.627 4.101 Å, 90.00 90.00 90.00°
Atoms (fractional coordinates):
1 Ca 0.000 0.000 0.000
2 Tl 0.500 0.500 0.000
3 Au 0.000 0.500 0.500
4 Au 0.500 0.000 0.500
5 F 0.000 0.000 0.500

Formation energy (no corrections) ... -853 meV/atom
Space-group type ... P4/mmm (123)

=====

This record from Alexandria describes an optimized crystal structure of DyYPt. The functional is PBE.

Cell: 8.446 8.446 8.446 Å, 33.46 33.46 33.46°
Atoms (fractional coordinates):
1 Dy 0.125 0.125 0.125
2 Dy 0.875 0.875 0.875
3 Y 0.375 0.375 0.375
4 Y 0.625 0.625 0.625
5 Pt 0.249 0.249 0.249
6 Pt 0.751 0.751 0.751

ΔE to the lowest computed polymorph ... 4 meV/atom
Energy of formation from the pure elements ... -860 meV per atom
Space-group type ... R-3m (166)

=====

This record from Alexandria describes an optimized crystal structure of LiZrIn. The functional is PBE.

Cell: 3.400 3.400 10.728 Å, 90.00 90.00 90.00°
Atoms (fractional coordinates):
1 Li 0.000 0.000 0.000
2 Li 0.000 0.000 0.293
3 Zr 0.000 0.000 0.664
4 Zr 0.500 0.500 0.477
5 In 0.500 0.500 0.160
6 In 0.500 0.500 0.851

ΔE to the lowest computed polymorph ... 65 meV/atom
Energy of formation from the pure elements ... -158 meV per atom
Space-group type ... P4mm (99)

=====

Q: Which DOS(E_F) values were calculated for the entries above? A: 0.911; 0.118; 0.794; 0.633, in states/eV/atom.